# 1
Material: TlSi2Tc2
Method: DFT, PBE
State: relaxed

Output
Total DFT energy (no corrections)   -6.649 eV/atom
Total magnetic moment   0.0 μB/cell
Excess energy over the best structure of this formula in the dataset   244 meV per atom
Energy relative to the elements, uncorrected   0.14 eV/atom

```
data_TlSi2Tc2
_cell_length_a 7.2349
_cell_length_b 7.2349
_cell_length_c 2.9786
_cell_angle_alpha 90.00
_cell_angle_beta 90.00
_cell_angle_gamma 90.00
_space_group_name_H-M_alt 'P 4/m b m'
_space_group_IT_number 127
_space_group_name_Hall '-P 4 2ab'
loop_
_atom_site_label
_atom_site_type_symbol
_atom_site_fract_x
_atom_site_fract_y
_atom_site_fract_z
Tl1 Tl 0.0000 0.0000 0.0000
Si1 Si 0.1308 0.3692 0.0000
Tc1 Tc 0.1554 0.6554 0.5000
```

---

# 2
Material: Tl2SiTc
Method: DFT, PBE
State: relaxed

Output
Total DFT energy (no corrections)   -4.754 eV/atom
Total magnetic moment   0.0 μB/cell
Excess energy over the best structure of this formula in the dataset   202 meV per atom
Energy relative to the elements, uncorrected   0.38 eV/atom

```
data_Tl2SiTc
_cell_length_a 4.0654
_cell_length_b 3.9775
_cell_length_c 5.5449
_cell_angle_alpha 90.00
_cell_angle_beta 111.45
_cell_angle_gamma 90.00
_space_group_name_H-M_alt 'P 1 m 1'
_space_group_IT_number 6
loop_
_space_group_symop_operation_xyz
'x,y,z'
'x,-y,z'
loop_
_atom_site_label
_atom_site_type_symbol
_atom_site_fract_x
_atom_site_fract_y
_atom_site_fract_z
Tl1 Tl 0.0000 0.0000 0.0000
Tl2 Tl 0.3096 0.5000 0.6225
Si1 Si 0.7142 0.0000 0.4328
Tc1 Tc 0.5932 0.5000 0.1851
```

---

# 3
Material: YTlSi2Tc
Method: DFT, PBE
State: relaxed

Output
Total DFT energy (no corrections)   -4.687 eV/atom
Total magnetic moment   2.2 μB/cell
Energy relative to the elements, uncorrected   1.32 eV/atom

```
data_YTlSi2Tc
_cell_length_a 5.0538
_cell_length_b 5.0538
_cell_length_c 5.1552
_cell_angle_alpha 90.00
_cell_angle_beta 90.00
_cell_angle_gamma 90.00
_space_group_name_H-M_alt 'P 4/m m m'
_space_group_IT_number 123
_space_group_name_Hall '-P 4 2'
loop_
_atom_site_label
_atom_site_type_symbol
_atom_site_fract_x
_atom_site_fract_y
_atom_site_fract_z
Y1 Y 0.0000 0.0000 0.0000
Tl1 Tl 0.5000 0.5000 0.5000
Si1 Si 0.0000 0.5000 0.5000
Tc1 Tc 0.5000 0.5000 0.0000
```